(1)
# Ce3Zn4Co4

Crystalline Ce3Zn4Co4 at its relaxed geometry (GGA-PBE, Alexandria).

```
11
Lattice="3.5448 0.0000 -0.8818 -0.8981 6.3925 -3.6102 0.1148 0.2709 8.0274" Properties=species:S:1:pos:R:3 pbc="T T T"
Ce 0.3496 0.8428 1.4055
Ce 2.4119 5.8205 2.1300
Ce -0.4490 3.1963 -1.8051
Zn 1.1043 1.0997 4.4394
Zn 1.9852 3.2292 0.4145
Zn 1.6572 5.5637 -0.9039
Zn 0.7764 3.4342 3.1210
Co 0.2593 4.9040 1.0425
Co 2.5022 1.7594 2.4929
Co 1.0563 5.0971 -3.3195
Co 1.7052 1.5662 6.8550
```

Output
**Formation energy from the elements**: -20.66 kJ/mol of atoms
**Symmetry**: Immm (71)
**Theoretical density**: 8183 kg/m3
**Magnetic moment**: 0.00 μB per atom
**Uncorrected energy**: -4.880 eV per atom

---

(2)
# CeBIr2Ru

Crystalline CeBIr2Ru at its relaxed geometry (GGA-PBE, Alexandria).

```
5
Lattice="4.2958 0.0000 0.0000 0.0000 4.2202 0.0000 0.0000 0.0000 4.2202" Properties=species:S:1:pos:R:3 pbc="T T T"
Ce 2.1479 2.1101 2.1101
B 0.0000 0.0000 0.0000
Ir 0.0000 0.0000 2.1101
Ir 0.0000 2.1101 0.0000
Ru 2.1479 0.0000 0.0000
```

Output
**Formation energy from the elements**: -54.16 kJ/mol of atoms
**Symmetry**: P4/mmm (123)
**Theoretical density**: 13813 kg/m3
**Magnetic moment**: 0.01 μB per atom
**Uncorrected energy**: -8.483 eV per atom

---

(3)
# Ca2NdPb

Crystalline Ca2NdPb at its relaxed geometry (GGA-PBE, Alexandria).

```
4
Lattice="5.2391 0.0000 0.0000 0.0000 4.9787 0.0000 0.0000 0.0000 4.9787" Properties=species:S:1:pos:R:3 pbc="T T T"
Pb 2.6196 0.0000 0.0000
Ca 0.0000 0.0000 2.4893
Ca 0.0000 2.4893 0.0000
Nd 2.6196 2.4893 2.4893
```

Output
**Formation energy from the elements**: -30.29 kJ/mol of atoms
**Symmetry**: P4/mmm (123)
**Theoretical density**: 5519 kg/m3
**Magnetic moment**: 0.00 μB per atom
**Uncorrected energy**: -3.434 eV per atom

---

(4)
# Sr3Y2

Crystalline Sr3Y2 at its relaxed geometry (GGA-PBE, Alexandria).

```
5
Lattice="-3.2575 15.6903 3.4434 -6.4079 15.0355 1.2353 -6.4828 14.1843 5.0431" Properties=species:S:1:pos:R:3 pbc="T T T"
Sr 0.0000 0.0000 0.0000
Sr -12.8519 35.7427 7.7373
Sr -3.2963 9.1674 1.9845
Y -6.4354 17.8975 3.8743
Y -9.7129 27.0126 5.8475
```

Output
**Formation energy from the elements**: 21.08 kJ/mol of atoms
**Symmetry**: R-3m (166)
**Theoretical density**: 3417 kg/m3
**Magnetic moment**: 0.31 μB per atom
**Uncorrected energy**: -3.376 eV per atom

---

(5)
# SrReSe2

Crystalline SrReSe2 at its relaxed geometry (GGA-PBE, Alexandria).

```
4
Lattice="3.9409 0.0000 0.0000 0.0000 3.5088 -0.0699 0.0000 0.1335 6.6400" Properties=species:S:1:pos:R:3 pbc="T T T"
Re 1.9704 2.7317 4.9276
Se 0.0000 2.7582 6.4641
Se 0.0000 2.7053 3.3910
Sr 1.9704 0.9106 1.6425
```

Output
**Symmetry**: Pmmm (47)
**Theoretical density**: 7805 kg/m3
**Magnetic moment**: 0.00 μB per atom
**Uncorrected energy**: -5.554 eV per atom

---

(6)
# CsLiNb2O6

Crystalline CsLiNb2O6 at its relaxed geometry (GGA-PBE, Alexandria).

```
20
Lattice="6.4334 -0.1767 -0.1834 1.8573 7.7561 -1.0431 1.8573 -1.3299 7.7121" Properties=species:S:1:pos:R:3 pbc="T T T"
Cs 3.4657 6.7265 -0.1394
Cs 6.6824 -0.4770 6.6250
Li 3.4657 0.5432 5.8188
Li 6.6824 5.7063 0.6668
Nb 4.6722 4.8572 3.5803
Nb 2.2592 2.9400 1.5907
Nb 5.4759 1.3923 2.9053
Nb 7.8889 3.3095 4.8948
O 4.7793 6.3269 4.6436
O 2.1521 1.9320 0.0826
O 5.3689 -0.0774 1.8420
O 7.9960 4.3176 6.4030
O 5.1580 5.4310 1.9360
O 1.7735 4.6045 1.0783
O 4.9902 0.8185 4.5496
O 8.3747 1.6451 5.4073
O 2.7663 4.2776 3.8470
O 4.1651 2.6520 2.1600
O 7.3818 1.9719 2.6386
O 5.9830 3.5975 4.3256
```

Output
**Symmetry**: C2/c (15)
**Theoretical density**: 3667 kg/m3
**Magnetic moment**: 0.00 μB per atom
**Uncorrected energy**: -7.660 eV per atom

---

(7)
# Pm4Er2Tm3

Crystalline Pm4Er2Tm3 at its relaxed geometry (GGA-PBE, Alexandria).

```
18
Lattice="-5.4944 -2.2245 0.4864 2.7111 -9.7810 -0.9609 1.3518 -4.2042 9.1891" Properties=species:S:1:pos:R:3 pbc="T T T"
Pm -1.7503 -5.1424 7.8032
Pm -3.4861 -7.8400 9.0529
Pm 0.3189 -11.0674 0.9114
Pm 2.0547 -8.3698 -0.3383
Pm -0.2837 -12.1573 5.1743
Pm -3.5970 -6.3865 1.5599
Pm -1.1476 -4.0525 3.5403
Pm 2.1656 -9.8233 7.1547
Er 1.4669 -9.4690 3.9826
Er 0.1364 -6.8080 2.3423
Er -2.8983 -6.7408 4.7321
Er -1.5678 -9.4018 6.3723
Tm 3.1438 -12.6521 5.3332
Tm -1.4141 -4.1434 0.0478
Tm -4.5752 -3.5577 3.3814
Tm -0.0173 -12.0664 8.6668
Tm 0.4546 -6.7147 5.7537
Tm -1.8860 -9.4950 2.9610
```

Output
**Formation energy from the elements**: 8.82 kJ/mol of atoms
**Symmetry**: C2/c (15)
**Theoretical density**: 8206 kg/m3
**Magnetic moment**: 0.00 μB per atom
**Uncorrected energy**: -4.524 eV per atom

---

(8)
# TcHNO2

Crystalline TcHNO2 at its relaxed geometry (GGA-PBE, Alexandria).

```
5
Lattice="-2.9894 -2.3174 -0.4496 2.3547 -2.8761 -0.8322 0.1695 -0.9459 3.7486" Properties=species:S:1:pos:R:3 pbc="T T T"
H -0.2326 -3.0697 1.2334
Tc 0.0000 0.0000 0.0000
O 1.1774 -1.4381 -0.4161
O -1.4947 -1.1587 -0.2248
N 0.0847 -0.4729 1.8743
```

Output
**Symmetry**: P4/mmm (123)
**Theoretical density**: 4289 kg/m3
**Magnetic moment**: 0.10 μB per atom
**Uncorrected energy**: -6.235 eV per atom

---

(9)
# YNbMo2

Crystalline YNbMo2 at its relaxed geometry (GGA-PBE, Alexandria).

```
4
Lattice="0.0000 3.3453 3.3453 3.3453 0.0000 3.3453 3.3453 3.3453 0.0000" Properties=species:S:1:pos:R:3 pbc="T T T"
Y 0.0000 0.0000 0.0000
Mo 1.6726 1.6726 1.6726
Mo 5.0179 5.0179 5.0179
Nb 3.3453 3.3453 3.3453
```

Output
**Formation energy from the elements**: 32.53 kJ/mol of atoms
**Symmetry**: Fm-3m (225)
**Theoretical density**: 8288 kg/m3
**Magnetic moment**: 0.00 μB per atom
**Uncorrected energy**: -9.212 eV per atom

---

(10)
# LaNdN

Crystalline LaNdN at its relaxed geometry (GGA-PBE, Alexandria).

```
12
Lattice="-1.0625 2.6569 -1.9753 -7.3846 -5.4554 -3.3659 -5.8536 3.2685 7.5448" Properties=species:S:1:pos:R:3 pbc="T T T"
N -8.2904 -0.0119 -0.1472
N -1.5488 -0.0187 -0.7222
N -6.0102 0.4819 2.3508
N -12.7517 0.4887 2.9257
La -3.1292 0.3353 -2.4562
La -9.1158 -2.1431 0.4903
La -11.1714 0.1347 4.6598
La -5.1848 2.6132 1.7132
Nd -1.7304 2.4767 -0.3284
Nd -6.0087 -0.9557 0.4163
Nd -12.5702 -2.0066 2.5319
Nd -8.2919 1.4257 1.7873
```

Output
**Symmetry**: Pnma (62)
**Theoretical density**: 5751 kg/m3
**Magnetic moment**: 0.00 μB per atom
**Uncorrected energy**: -6.708 eV per atom

---

(11)
# YTaSi

Crystalline YTaSi at its relaxed geometry (GGA-PBE, Alexandria).

```
3
Lattice="-3.6343 0.0674 -2.7049 0.3316 -1.4590 -4.2768 -1.9821 -3.8848 -1.2285" Properties=species:S:1:pos:R:3 pbc="T T T"
Si -1.3212 -1.3191 -2.0525
Ta 0.0000 0.0000 0.0000
Y -2.6424 -2.6382 -4.1051
```

Output
**Symmetry**: F-43m (216)
**Theoretical density**: 7522 kg/m3
**Magnetic moment**: 0.14 μB per atom
**Uncorrected energy**: -7.871 eV per atom

---

(12)
# Pm3ThP4

Crystalline Pm3ThP4 at its relaxed geometry (GGA-PBE, Alexandria).

```
8
Lattice="-1.8788 3.4426 1.3216 -3.3885 0.5612 -6.2790 -3.9661 -3.8952 4.5079" Properties=species:S:1:pos:R:3 pbc="T T T"
Pm -1.9830 -1.9476 2.2539
Pm -4.6167 0.0543 -0.2247
Pm -1.6943 0.2806 -3.1395
Th -0.9394 1.7213 0.6608
P -1.8269 -0.8282 -0.4400
P -4.4716 1.1745 -2.9363
P -5.5277 -2.5058 -1.3312
P -4.7619 -1.0660 2.4868
```

Output
**Formation energy from the elements**: -153.38 kJ/mol of atoms
**Symmetry**: Cmmm (65)
**Theoretical density**: 6570 kg/m3
**Magnetic moment**: 0.00 μB per atom
**Uncorrected energy**: -7.004 eV per atom

---

(13)
# Rb2HgI6F

Crystalline Rb2HgI6F at its relaxed geometry (GGA-PBE, Alexandria).

```
10
Lattice="8.7600 0.0000 0.0000 0.0000 8.7600 0.0000 4.3800 4.3800 5.4501" Properties=species:S:1:pos:R:3 pbc="T T T"
I 4.3800 4.3800 2.3045
I 8.7600 8.7600 3.1456
I 2.0388 2.0388 0.0000
I 6.7212 6.7212 0.0000
I 6.7212 2.0388 0.0000
I 2.0388 6.7212 0.0000
Hg 0.0000 0.0000 0.0000
Rb 8.7600 4.3800 2.7251
Rb 4.3800 8.7600 2.7251
F 4.3800 4.3800 0.0000
```

Output
**Symmetry**: I4/mmm (139)
**Theoretical density**: 4574 kg/m3
**Magnetic moment**: 0.00 μB per atom
**Uncorrected energy**: -2.026 eV per atom

---

(14)
# U2Sn2S7

Crystalline U2Sn2S7 at its relaxed geometry (GGA-PBE, Alexandria).

```
11
Lattice="-0.9151 0.2711 3.8509 7.5780 2.5100 3.6677 1.7396 8.4067 1.8652" Properties=species:S:1:pos:R:3 pbc="T T T"
U 6.3995 3.7002 3.3039
U 3.2880 6.5163 4.4100
Sn 6.4907 8.0958 7.1036
Sn 2.3912 2.6078 2.4283
S 0.1976 2.8156 3.9362
S 3.8033 8.1350 6.4622
S 1.3725 8.4509 3.8186
S 3.9183 3.8762 4.7457
S 5.8726 5.9093 5.0669
S 6.8520 9.7385 5.0300
S 2.3131 5.3616 2.2159
```

Output
**Symmetry**: Imm2 (44)
**Theoretical density**: 6221 kg/m3
**Magnetic moment**: 0.20 μB per atom
**Uncorrected energy**: -6.274 eV per atom

---

(15)
# NaMgPdCl6

Crystalline NaMgPdCl6 at its relaxed geometry (GGA-PBE, Alexandria).

```
18
Lattice="6.3779 0.0000 0.0000 -3.1889 5.5234 0.0000 0.0000 0.0000 12.5261" Properties=species:S:1:pos:R:3 pbc="T T T"
Na 0.0000 0.0000 0.0000
Na 0.0000 0.0000 6.2630
Mg 0.0000 3.6823 3.1315
Mg 3.1889 1.8411 9.3946
Pd 3.1889 1.8411 3.1315
Pd 0.0000 3.6823 9.3946
Cl 2.0733 3.4961 1.7289
Cl 5.1800 1.9798 1.7289
Cl -0.8755 5.4759 7.9920
Cl -1.9911 3.5436 10.7971
Cl 1.1978 1.9798 4.5341
Cl 4.3045 3.4961 4.5341
Cl 0.8755 5.4759 10.7971
Cl 4.0644 0.0475 4.5341
Cl -1.1156 2.0272 7.9920
Cl 2.3134 0.0475 1.7289
Cl 1.9911 3.5436 7.9920
Cl 1.1156 2.0272 10.7971
```

Output
**Symmetry**: P-31c (163)
**Theoretical density**: 2758 kg/m3
**Magnetic moment**: 0.11 μB per atom
**Uncorrected energy**: -3.291 eV per atom

---

(16)
# Cu2SbHRh

Crystalline Cu2SbHRh at its relaxed geometry (GGA-PBE, Alexandria).

```
5
Lattice="4.0132 0.0000 0.0000 0.0000 4.0132 0.0000 0.0000 0.0000 3.8977" Properties=species:S:1:pos:R:3 pbc="T T T"
Sb 2.0066 2.0066 1.9489
Rh 0.0000 0.0000 1.9489
Cu 0.0000 2.0066 0.0000
Cu 2.0066 0.0000 0.0000
H 0.0000 0.0000 0.0000
```

Output
**Symmetry**: P4/mmm (123)
**Theoretical density**: 9331 kg/m3
**Magnetic moment**: 0.00 μB per atom
**Uncorrected energy**: -4.585 eV per atom

---

(17)
# YHO3

Crystalline YHO3 at its relaxed geometry (GGA-PBE, Alexandria).

```
5
Lattice="-1.7382 0.3829 2.9995 2.9478 -0.5562 1.7793 0.6737 3.4218 -0.0464" Properties=species:S:1:pos:R:3 pbc="T T T"
Y 0.9416 1.6242 2.3662
H 0.0000 0.0000 0.0000
O 1.4739 -0.2781 0.8897
O 0.3368 1.7109 -0.0232
O -0.8691 0.1914 1.4997
```

Output
**Symmetry**: Pm-3m (221)
**Theoretical density**: 5397 kg/m3
**Magnetic moment**: 0.40 μB per atom
**Uncorrected energy**: -6.122 eV per atom

---

(18)
# TmHfCo2

Crystalline TmHfCo2 at its relaxed geometry (GGA-PBE, Alexandria).

```
4
Lattice="4.5581 0.0000 0.0000 2.2790 3.9474 0.0000 2.2790 1.3158 3.7216" Properties=species:S:1:pos:R:3 pbc="T T T"
Co 6.8371 3.9474 2.7912
Co 2.2790 1.3158 0.9304
Tm 0.0000 0.0000 0.0000
Hf 4.5581 2.6316 1.8608
```

Output
**Formation energy from the elements**: -27.83 kJ/mol of atoms
**Symmetry**: Fm-3m (225)
**Theoretical density**: 11538 kg/m3
**Magnetic moment**: 0.30 μB per atom
**Uncorrected energy**: -7.448 eV per atom

---

(19)
# Li8ErAg6

Crystalline Li8ErAg6 at its relaxed geometry (GGA-PBE, Alexandria).

```
15
Lattice="-7.2804 -3.1354 -1.2247 -1.1639 -7.8900 0.8529 -4.0172 -2.9310 5.1190" Properties=species:S:1:pos:R:3 pbc="T T T"
Li -5.6710 -4.4123 1.4089
Li -8.4446 -5.2676 2.3521
Li -3.9247 -5.8336 3.4690
Li -9.5290 -10.3541 4.3576
Li -2.9326 -3.6022 0.3897
Li -8.5368 -8.1228 1.2783
Li -4.0169 -8.6888 2.3952
Li -6.7905 -9.5441 3.3384
Er 0.0000 0.0000 0.0000
Ag -6.3351 -4.2613 4.0249
Ag -7.6978 -5.7993 -0.1909
Ag -3.5463 -6.2582 0.8263
Ag -8.9152 -7.6982 3.9210
Ag -4.7638 -8.1571 4.9382
Ag -6.1265 -9.6950 0.7224
```

Output
**Formation energy from the elements**: -9.03 kJ/mol of atoms
**Symmetry**: R-3 (148)
**Theoretical density**: 4775 kg/m3
**Magnetic moment**: 0.00 μB per atom
**Uncorrected energy**: -2.559 eV per atom

---

(20)
# ZrBIr2Rh

Crystalline ZrBIr2Rh at its relaxed geometry (GGA-PBE, Alexandria).

```
5
Lattice="4.1603 0.0000 0.0000 0.0000 4.1603 0.0000 0.0000 0.0000 4.1914" Properties=species:S:1:pos:R:3 pbc="T T T"
B 0.0000 0.0000 0.0000
Ir 0.0000 2.0802 0.0000
Ir 2.0802 0.0000 0.0000
Rh 0.0000 0.0000 2.0957
Zr 2.0802 2.0802 2.0957
```

Output
**Formation energy from the elements**: -62.21 kJ/mol of atoms
**Symmetry**: P4/mmm (123)
**Theoretical density**: 13490 kg/m3
**Magnetic moment**: 0.00 μB per atom
**Uncorrected energy**: -8.705 eV per atom